[1]
{
  "formula": "BaMg2Si",
  "functional": "GGA-PBE",
  "state": "optimized geometry",
  "sg": "C2/m, No. 12",
  "e_above_lowest_polymorph_kcal_per_mol_atoms": 10.374,
  "lattice_angstrom": [[6.5365, 0.0000, 0.0000], [0.0000, 11.9855, 0.0000], [-1.5093, 0.0000, 2.8812]],
  "species": ["Ba", "Ba", "Mg", "Mg", "Mg", "Mg", "Si", "Si"],
  "fractional_positions": [[0.0000, 0.0000, 0.0000], [0.5000, 0.5000, 0.0000], [0.2500, 0.2500, 0.5000], [0.2500, 0.7500, 0.5000], [0.7500, 0.2500, 0.5000], [0.7500, 0.7500, 0.5000], [0.0000, 0.5000, 0.0000], [0.5000, 0.0000, 0.0000]]
}


[2]
{
  "formula": "Ba3MgSi2",
  "functional": "GGA-PBE",
  "state": "optimized geometry",
  "sg": "Ibam, No. 72",
  "total_energy_ev_per_atom": -3.314,
  "lattice_angstrom": [[-3.9308, 7.6516, 3.5200], [3.9308, -7.6516, 3.5200], [3.9308, 7.6516, -3.5200]],
  "species": ["Ba", "Ba", "Ba", "Ba", "Ba", "Ba", "Mg", "Mg", "Si", "Si", "Si", "Si"],
  "fractional_positions": [[0.1810, 0.6835, 0.8645], [0.2500, 0.2500, 0.0000], [0.3190, 0.1835, 0.5024], [0.6810, 0.8165, 0.4976], [0.7500, 0.7500, 0.0000], [0.8190, 0.3165, 0.1355], [0.2500, 0.7500, 0.5000], [0.7500, 0.2500, 0.5000], [0.1062, 0.2929, 0.3991], [0.3938, 0.7929, 0.1866], [0.6062, 0.2071, 0.8134], [0.8938, 0.7071, 0.6009]]
}